# 1
The following is a PBE calculation of a relaxed structure of NiH12C12S2N6, from the Open Quantum Materials Database.

CIF file:
```
data_NiH12C12S2N6
_cell_length_a 7.939
_cell_length_b 9.407
_cell_length_c 9.911
_cell_angle_alpha 100.89
_cell_angle_beta 91.02
_cell_angle_gamma 105.57
_symmetry_space_group_name_H-M 'P -1'
_symmetry_Int_Tables_number 2
loop_
_symmetry_equiv_pos_as_xyz
'x,y,z'
'-x,-y,-z'
loop_
_atom_site_label
_atom_site_type_symbol
_atom_site_fract_x
_atom_site_fract_y
_atom_site_fract_z
_atom_site_occupancy
Ni1 Ni 0.000 0.000 0.000 1
Ni2 Ni 0.000 0.500 0.500 1
H1 H 0.035 0.446 0.203 1
H2 H 0.106 0.820 0.518 1
H3 H 0.148 0.605 0.033 1
H4 H 0.185 0.320 0.028 1
H5 H 0.200 0.932 0.756 1
H6 H 0.224 0.995 0.363 1
H7 H 0.300 0.860 0.002 1
H8 H 0.331 0.016 0.135 1
H9 H 0.385 0.481 0.897 1
H10 H 0.398 0.076 0.611 1
H11 H 0.444 0.668 0.427 1
H12 H 0.448 0.506 0.312 1
C1 C 0.079 0.568 0.234 1
C2 C 0.121 0.777 0.410 1
C3 C 0.140 0.212 0.263 1
C4 C 0.142 0.657 0.140 1
C5 C 0.186 0.874 0.324 1
C6 C 0.203 0.815 0.184 1
C7 C 0.233 0.270 0.935 1
C8 C 0.242 0.054 0.783 1
C9 C 0.296 0.672 0.710 1
C10 C 0.346 0.359 0.861 1
C11 C 0.353 0.135 0.703 1
C12 C 0.408 0.294 0.739 1
S1 S 0.238 0.297 0.410 1
S2 S 0.443 0.746 0.837 1
N1 N 0.062 0.152 0.154 1
N2 N 0.069 0.626 0.368 1
N3 N 0.177 0.117 0.898 1
N4 N 0.188 0.616 0.617 1
N5 N 0.266 0.906 0.096 1
N6 N 0.486 0.621 0.338 1
```

# 2
The following is a PBE calculation of a relaxed structure of NiH8C12S2N4, from the Open Quantum Materials Database.

CIF file:
```
data_NiH8C12S2N4
_cell_length_a 14.416
_cell_length_b 9.542
_cell_length_c 10.055
_cell_angle_alpha 90.00
_cell_angle_beta 116.77
_cell_angle_gamma 90.00
_symmetry_space_group_name_H-M 'C 1 2/c 1'
_symmetry_Int_Tables_number 15
loop_
_symmetry_equiv_pos_as_xyz
'x,y,z'
'-x,-y,-z'
'-x,y,-z+1/2'
'x,-y,z+1/2'
'x+1/2,y+1/2,z'
'-x+1/2,-y+1/2,-z'
'-x+1/2,y+1/2,-z+1/2'
'x+1/2,-y+1/2,z+1/2'
loop_
_atom_site_label
_atom_site_type_symbol
_atom_site_fract_x
_atom_site_fract_y
_atom_site_fract_z
_atom_site_occupancy
Ni1 Ni 0.000 0.115 0.250 1
H1 H 0.060 0.366 0.720 1
H2 H 0.148 0.167 0.105 1
H3 H 0.182 0.384 0.609 1
H4 H 0.228 0.379 0.050 1
C1 C 0.038 0.409 0.219 1
C2 C 0.081 0.468 0.693 1
C3 C 0.105 0.072 0.605 1
C4 C 0.130 0.272 0.129 1
C5 C 0.149 0.478 0.632 1
C6 C 0.174 0.390 0.098 1
S1 S 0.156 0.126 0.498 1
N1 N 0.064 0.281 0.189 1
N2 N 0.069 0.030 0.682 1
```

DFT total energy for every record listed, in sequence, given in eV/cell: -430.8, -733.0.
V for every record listed, in sequence, given in Å³/f.u.: 349.17, 308.72.